# 1
VASP calculation (PBE) on AgAsPBr2 after structural relaxation.

The value obtained for the raw total energy is -13.81 eV/cell. The value obtained for the size of the total moment is 0.9 μB per formula unit. Its raw formation energy is 2.5 eV/f.u. The distance to the lowest polymorph of the same formula comes out at 0 meV/atom.

It has space group P4/mmm (No. 123), with a = 5.1824 Å, b = 5.1824 Å, c = 4.8666 Å, α = 90.00°, β = 90.00° and γ = 90.00°. The inequivalent atoms are Ag at (0.0000, 0.0000, 0.0000), As at (0.5000, 0.5000, 0.0000), P at (0.5000, 0.5000, 0.5000) and Br at (0.0000, 0.5000, 0.5000).

---

# 2
VASP calculation (PBE) on PmDyTlPb after structural relaxation.

The value obtained for the raw total energy is -34.23 eV/cell. The value obtained for the size of the total moment is 0.0 μB per formula unit. The distance to the lowest polymorph of the same formula comes out at 0 meV/atom.

It has space group I-4m2 (No. 119), with a = 5.0599 Å, b = 5.0599 Å, c = 8.9057 Å, α = 90.00°, β = 90.00° and γ = 90.00°. The inequivalent atoms are Pm at (0.0000, 0.0000, 0.0000), Dy at (0.0000, 0.0000, 0.5000), Tl at (0.0000, 0.5000, 0.2500) and Pb at (0.0000, 0.5000, 0.7500).

---

# 3
VASP calculation (PBE) on SmDyCoRu after structural relaxation.

The value obtained for the raw total energy is -52.99 eV/cell. The value obtained for the size of the total moment is 0.7 μB per formula unit. The distance to the lowest polymorph of the same formula comes out at 0 meV/atom.

It has space group Amm2 (No. 38), with a = 4.0258 Å, b = 4.1928 Å, c = 10.3966 Å, α = 90.00°, β = 90.00° and γ = 90.00°. The inequivalent atoms are Sm at (0.0000, 0.0000, 0.0000), Dy at (0.5000, 0.0000, 0.7101), Co at (0.5000, 0.0000, 0.4102) and Ru at (0.0000, 0.0000, 0.2947).

---

# 4
VASP calculation (PBE) on CsTiCd2Br after structural relaxation.

The value obtained for the raw total energy is -8.59 eV/cell. The value obtained for the size of the total moment is 3.6 μB per formula unit. Its raw formation energy is 3.7 eV/f.u.

It has space group P4/mmm (No. 123), with a = 7.2907 Å, b = 7.2907 Å, c = 6.5315 Å, α = 90.00°, β = 90.00° and γ = 90.00°. The inequivalent atoms are Cs at (0.0000, 0.0000, 0.0000), Ti at (0.5000, 0.5000, 0.5000), Cd at (0.0000, 0.5000, 0.0000) and Br at (0.0000, 0.0000, 0.5000).